1.
Here is a relaxed structure of NaTlFeI5 from the Alexandria database. Energies are from PBE.

Cell and atoms, written as POSCAR:
```
NaTlFeI5
1.0
5.329 -6.790 0.000
5.329 6.790 0.000
-4.501 0.000 9.898
Na Tl Fe I
2 2 2 10
direct
0.000 0.000 0.000
0.000 0.000 0.500
0.330 0.670 0.750
0.670 0.330 0.250
0.332 0.668 0.250
0.668 0.332 0.750
0.091 0.909 0.750
0.101 0.650 0.360
0.275 0.388 0.065
0.350 0.899 0.140
0.388 0.275 0.565
0.612 0.725 0.435
0.650 0.101 0.860
0.725 0.612 0.935
0.899 0.350 0.640
0.909 0.091 0.250
```

Magnetization: 9.96 Bohr magnetons per cell
Total DFT energy (no corrections): -3.0266 eV/atom
E_form (uncorrected): -0.54 eV/atom

=====

2.
Here is a relaxed structure of Te4PdCl from the Alexandria database. Energies are from PBE.

Cell and atoms, written as POSCAR:
```
Te4PdCl
1.0
7.772 0.000 0.000
2.903 7.217 0.000
3.821 2.578 6.673
Te Pd Cl
8 2 2
direct
0.125 0.361 0.113
0.188 0.777 0.504
0.224 0.811 0.996
0.361 0.125 0.614
0.639 0.875 0.386
0.776 0.189 0.004
0.812 0.223 0.496
0.875 0.639 0.887
0.011 0.989 0.750
0.989 0.011 0.250
0.496 0.504 0.251
0.504 0.496 0.749
```

Magnetization: 0.00 Bohr magnetons per cell
Total DFT energy (no corrections): -3.4205 eV/atom
E_form (uncorrected): -0.15 eV/atom

=====

3.
Here is a relaxed structure of TbEr5Tm4 from the Alexandria database. Energies are from PBE.

Cell and atoms, written as POSCAR:
```
TbEr5Tm4
1.0
5.346 0.000 0.000
0.005 6.931 0.000
2.659 0.000 8.214
Tb Er Tm
1 5 4
direct
0.000 0.000 0.000
0.000 0.499 0.000
0.200 0.499 0.601
0.389 0.748 0.220
0.611 0.749 0.780
0.800 0.999 0.400
0.200 0.000 0.600
0.389 0.250 0.221
0.611 0.250 0.780
0.800 0.499 0.399
```

Magnetization: 0.00 Bohr magnetons per cell
DFT formation energy: 0.53 eV/f.u.
Total DFT energy (no corrections): -4.4805 eV/atom

=====

4.
Here is a relaxed structure of ErPa3P4 from the Alexandria database. Energies are from PBE.

Cell and atoms, written as POSCAR:
```
ErPa3P4
1.0
3.960 -5.605 0.000
3.960 5.605 0.000
0.000 0.000 3.967
Er Pa P
1 3 4
direct
0.000 0.000 0.000
0.000 0.500 0.500
0.500 0.000 0.500
0.500 0.500 0.000
0.249 0.249 0.500
0.249 0.751 0.000
0.751 0.249 0.000
0.751 0.751 0.500
```

Magnetization: 0.00 Bohr magnetons per cell
DFT formation energy: -11.10 eV/f.u.
Total DFT energy (no corrections): -8.2239 eV/atom